Below is a geometry-optimized TlAsBr structure, with properties calculated at the PBE level.

a b c (Å): 5.0310 5.0310 3.6932
angles (deg): 90.00 90.00 120.00
Positions (direct):
Tl 0.0000 0.0000 0.0000
As 0.6667 0.3333 0.0000
Br 0.3333 0.6667 0.5000

Computed properties:
energy relative to the elements, uncorrected	0.170	eV/atom

Below is a geometry-optimized CoTc3B2 structure, with properties calculated at the PBE level.

a b c (Å): 5.3084 5.3084 4.6270
angles (deg): 90.00 90.00 90.49
Positions (direct):
Co 0.0732 0.9268 0.7500
Co 0.9268 0.0732 0.2500
Tc 0.0806 0.5802 0.2500
Tc 0.4166 0.5834 0.7500
Tc 0.4198 0.9194 0.2500
Tc 0.5802 0.0806 0.7500
Tc 0.5834 0.4166 0.2500
Tc 0.9194 0.4198 0.7500
B 0.2350 0.2350 0.0000
B 0.2350 0.2350 0.5000
B 0.7650 0.7650 0.0000
B 0.7650 0.7650 0.5000

Computed properties:
ΔE_f	-1.24	eV/f.u.

Below is a geometry-optimized Ge3BiF structure, with properties calculated at the PBE level.

a b c (Å): 4.7602 4.7602 4.7602
angles (deg): 90.00 90.00 90.00
Positions (direct):
Ge 0.0000 0.0000 0.5000
Ge 0.0000 0.5000 0.0000
Ge 0.5000 0.0000 0.0000
Bi 0.5000 0.5000 0.5000
F 0.0000 0.0000 0.0000

Computed properties:
energy relative to the elements, uncorrected	-0.048	eV/atom